Y2CrN3 | PBEsol | relaxed

Unit cell a=5.075 b=5.790 c=11.275 alpha=87.94 beta=85.30 gamma=64.01
Element x y z (fractional)
Y1 0.025 0.406 0.647
Y2 0.569 0.406 0.853
Y3 0.975 0.594 0.353
Y4 0.431 0.594 0.147
Y5 0.873 0.784 0.927
Y6 0.342 0.784 0.573
Y7 0.127 0.216 0.073
Y8 0.658 0.216 0.427
Cr1 0.286 0.008 0.828
Cr2 0.706 0.008 0.672
Cr3 0.714 0.992 0.172
Cr4 0.294 0.992 0.328
N1 0.626 0.748 0.750
N2 0.374 0.252 0.250
N3 0.123 0.357 0.869
N4 0.520 0.357 0.631
N5 0.877 0.643 0.131
N6 0.480 0.643 0.369
N7 0.148 0.192 0.463
N8 0.660 0.192 0.037
N9 0.852 0.808 0.537
N10 0.340 0.808 0.963
N11 0.996 0.009 0.750
N12 0.004 0.991 0.250

As for the space group: C2/c, No. 15. Its crystal system is monoclinic. As for the energy above the most stable polymorph in this dataset: 0 meV per atom. Its total magnetization is 0.00 μB/cell.